Computed, not measured: crystalline Ac2TlCu at its relaxed geometry at the PBE-GGA level of DFT.

Geometry as POSCAR:
```
Ac2TlCu
1.0
3.894 0.000 0.000
0.000 3.894 0.000
0.000 0.000 8.262
Ac Tl Cu
2 1 1
Direct
0.000 0.000 0.222
0.000 0.000 0.778
0.500 0.500 0.500
0.500 0.500 0.000
```

Total magnetization, Bohr magnetons per cell: 0.00
ΔE_f, eV per formula unit: -0.8
Space-group type: P4/mmm